BiIrPb3: optimized geometry, GGA-PBE.

The structure in POSCAR format:
```
BiIrPb3
1.0
5.353 0.000 0.000
0.000 5.353 0.000
0.000 0.000 5.353
Bi Ir Pb
1 1 3
direct
0.000 0.000 0.000
0.500 0.500 0.500
0.000 0.500 0.500
0.500 0.000 0.500
0.500 0.500 0.000
```

## Properties
VASP energy   -22.9 eV/cell
Energy of formation from the pure elements   194 meV/atom
Volume   153 Å³/cell
DOS at the Fermi energy   0.9 states/eV/cell